# 1
Entry from Alexandria via LeMat-Bulk: a geometry-optimized DyMgTlTe3 structure (PBE).

energy relative to the elements, uncorrected	-0.960	eV/atom
theoretical density	5.96	Mg/m³
M_tot	0.0	μB per formula unit
final energy	-0.1455	hartree per atom

Cell lengths 4.4951, 9.5149, 10.5035 Å; angles 106.39, 90.00, 90.00 degrees
Last column: nearest neighbours and their distance in Å.
Fractional coordinates of all 12 atoms:
1 Dy 0.7500 0.3299 0.8629  6 Te 3.05-3.27
2 Te 0.2500 0.1077 0.8781  1 Mg 2.77
3 Tl 0.7500 0.7948 0.7817  5 Te 3.43-3.64
4 Te 0.7500 0.2215 0.5390  3 Mg 2.81-2.86
5 Mg 0.2500 0.0815 0.6089  4 Te 2.77-2.86
6 Dy 0.2500 0.6701 0.1371  6 Te 3.05-3.27
7 Te 0.7500 0.4568 0.1643  3 Dy 3.05-3.10
8 Te 0.2500 0.5432 0.8357  3 Dy 3.05-3.10
9 Mg 0.7500 0.9185 0.3911  4 Te 2.77-2.86
10 Tl 0.2500 0.2052 0.2183  5 Te 3.43-3.64
11 Te 0.7500 0.8923 0.1219  1 Mg 2.77
12 Te 0.2500 0.7785 0.4610  3 Mg 2.81-2.86

# 2
Entry from Alexandria via LeMat-Bulk: a geometry-optimized InSn2Pt2 structure (PBE).

calculated formation energy	-215	meV/atom
theoretical density	10.28	Mg/m³
M_tot	0.0	μB per formula unit
final energy	-0.1757	hartree per atom
relative energy among the computed polymorphs	61	meV/atom

Cell lengths 3.9483, 3.9483, 8.1857 Å; angles 76.04, 76.04, 90.00 degrees
Last column: nearest neighbours and their distance in Å.
Fractional coordinates of all 5 atoms:
1 Pt 0.2500 0.7500 0.5000  4 Sn 2.74, 4 Pt 2.79
2 Sn 0.3730 0.3730 0.2540  4 Pt 2.74
3 Pt 0.7500 0.2500 0.5000  4 Sn 2.74, 4 Pt 2.79
4 In 0.0000 0.0000 0.0000  8 Sn 3.41
5 Sn 0.6270 0.6270 0.7460  4 Pt 2.74

# 3
Entry from Alexandria via LeMat-Bulk: a geometry-optimized TlReBAs2 structure (PBE).

calculated formation energy	596	meV/atom
theoretical density	8.80	Mg/m³
M_tot	0.0	μB per formula unit
final energy	-0.2044	hartree per atom

Cell lengths 4.9549, 4.2377, 4.9549 Å; angles 90.00, 90.00, 90.00 degrees
Last column: nearest neighbours and their distance in Å.
Fractional coordinates of all 5 atoms:
1 Tl 0.5000 0.5000 0.5000  8 As 3.26, 4 B 3.50
2 Re 0.0000 0.0000 0.0000  2 B 2.12
3 B 0.0000 0.5000 0.0000  2 Re 2.12
4 As 0.0000 0.0000 0.5000  2 Re 2.48
5 As 0.5000 0.0000 0.0000  2 Re 2.48